A geometry-optimized ThTlAg2Se4 structure, computed with GGA-PBE.

```
data_ThTlAg2Se4
_cell_length_a 7.181
_cell_length_b 7.528
_cell_length_c 7.943
_cell_angle_alpha 90.00
_cell_angle_beta 90.00
_cell_angle_gamma 90.00
_space_group_name_H-M_alt 'I 2 2 2'
_space_group_IT_number 23
_space_group_name_Hall 'I 2 2'
loop_
_atom_site_label
_atom_site_type_symbol
_atom_site_fract_x
_atom_site_fract_y
_atom_site_fract_z
Th1 Th 0.000 0.000 0.000
Tl1 Tl 0.000 0.000 0.500
Ag1 Ag 0.000 0.500 0.315
Se1 Se 0.233 0.231 0.808
```

Properties
DOS(E_F) = 9.27 states/eV per cell
Total energy = -68.62 eV for the cell shown
Uncorrected formation energy = -58.9 kJ per mole of atoms
Total magnetic moment = 0.0 μB/cell